{
  "formula": "Zn2AgSe",
  "functional": "PBE",
  "state": "optimized geometry",
  "e_form_raw_mev_per_atom": -59,
  "vol_a3_per_atom": 20.86,
  "m_tot_mub_per_fu": 0.0,
  "dos_at_fermi_per_ev_fu": 1.40,
  "lattice_angstrom": [[4.5281, 0.0000, 0.0000], [0.0000, 8.8406, 0.0000], [0.0000, 0.0000, 4.1694]],
  "species": ["Zn", "Zn", "Zn", "Zn", "Ag", "Ag", "Se", "Se"],
  "frac_coords": [[0.0000, 0.1868, 0.0000], [0.0000, 0.8132, 0.0000], [0.5000, 0.3132, 0.0000], [0.5000, 0.6868, 0.0000], [0.0000, 0.5000, 0.0000], [0.5000, 0.0000, 0.0000], [0.0000, 0.0000, 0.5000], [0.5000, 0.5000, 0.5000]]
}